(1)
DFT (PBE) results for TiCI2N after structural relaxation.

Unit cell a=6.590 b=6.590 c=2.706 alpha=90.00 beta=90.00 gamma=90.00
Fractional coordinates of all 5 atoms:
I 0.000 0.500 0.000
I 0.500 0.000 0.000
C 0.000 0.000 0.000
N 0.000 0.000 0.500
Ti 0.500 0.500 0.500

Output
Size of the total moment = 2.66 Bohr magnetons per cell
Volume = 23.51 Å³/atom
Density = 4.6 Mg/m³
Formation energy (no corrections) = 1.267 eV per atom

***

(2)
DFT (PBE) results for TiCIN2 after structural relaxation.

Unit cell a=3.793 b=3.793 c=6.328 alpha=90.00 beta=90.00 gamma=90.00
Fractional coordinates of all 5 atoms:
I 0.000 0.000 0.500
C 0.500 0.500 0.500
N 0.000 0.500 0.000
N 0.500 0.000 0.000
Ti 0.000 0.000 0.000

Output
Size of the total moment = 1.12 Bohr magnetons per cell
Volume = 18.20 Å³/atom
Density = 3.9 Mg/m³
Formation energy (no corrections) = 1.473 eV per atom

***

(3)
DFT (PBE) results for TiCIN2 after structural relaxation.

Unit cell a=3.857 b=3.857 c=4.210 alpha=90.00 beta=90.00 gamma=90.00
Fractional coordinates of all 5 atoms:
I 0.000 0.000 0.500
C 0.000 0.000 0.000
N 0.000 0.500 0.000
N 0.500 0.000 0.000
Ti 0.500 0.500 0.500

Output
Size of the total moment = 0.00 Bohr magnetons per cell
Volume = 12.53 Å³/atom
Density = 5.7 Mg/m³
Formation energy (no corrections) = 2.158 eV per atom

***

(4)
DFT (PBE) results for TlCIN2 after structural relaxation.

Unit cell a=4.147 b=4.147 c=7.891 alpha=90.00 beta=90.00 gamma=90.00
Fractional coordinates of all 5 atoms:
I 0.000 0.000 0.500
Tl 0.000 0.000 0.000
C 0.500 0.500 0.500
N 0.000 0.500 0.000
N 0.500 0.000 0.000

Output
Size of the total moment = 3.71 Bohr magnetons per cell
Volume = 27.14 Å³/atom
Density = 4.5 Mg/m³
Formation energy (no corrections) = 2.903 eV per atom

***

(5)
DFT (PBE) results for TlCIN2 after structural relaxation.

Unit cell a=4.435 b=4.435 c=4.603 alpha=90.00 beta=90.00 gamma=90.00
Fractional coordinates of all 5 atoms:
I 0.000 0.000 0.500
Tl 0.500 0.500 0.500
C 0.000 0.000 0.000
N 0.000 0.500 0.000
N 0.500 0.000 0.000

Output
Size of the total moment = 3.57 Bohr magnetons per cell
Volume = 18.11 Å³/atom
Density = 6.8 Mg/m³
Formation energy (no corrections) = 2.565 eV per atom

***

(6)
DFT (PBE) results for WCIN2 after structural relaxation.

Unit cell a=3.658 b=5.842 c=3.658 alpha=90.00 beta=90.00 gamma=90.00
Fractional coordinates of all 5 atoms:
I 0.000 0.000 0.000
C 0.500 0.500 0.500
W 0.000 0.500 0.000
N 0.000 0.000 0.500
N 0.500 0.000 0.000

Output
Size of the total moment = 0.13 Bohr magnetons per cell
Volume = 15.63 Å³/atom
Density = 7.5 Mg/m³
Formation energy (no corrections) = 3.322 eV per atom

***

(7)
DFT (PBE) results for WCIN2 after structural relaxation.

Unit cell a=3.863 b=3.863 c=5.938 alpha=90.00 beta=90.00 gamma=90.00
Fractional coordinates of all 5 atoms:
I 0.000 0.000 0.500
C 0.500 0.500 0.500
W 0.000 0.000 0.000
N 0.000 0.500 0.000
N 0.500 0.000 0.000

Output
Size of the total moment = 1.42 Bohr magnetons per cell
Volume = 17.72 Å³/atom
Density = 6.6 Mg/m³
Formation energy (no corrections) = 1.604 eV per atom

***

(8)
DFT (PBE) results for W2CIN after structural relaxation.

Unit cell a=4.129 b=4.648 c=4.129 alpha=90.00 beta=90.00 gamma=90.00
Fractional coordinates of all 5 atoms:
I 0.000 0.500 0.000
C 0.000 0.000 0.000
W 0.000 0.000 0.500
W 0.500 0.000 0.000
N 0.500 0.500 0.500

Output
Size of the total moment = 0.00 Bohr magnetons per cell
Volume = 15.85 Å³/atom
Density = 10.9 Mg/m³
Formation energy (no corrections) = 2.239 eV per atom

***

(9)
DFT (PBE) results for WCIN2 after structural relaxation.

Unit cell a=3.849 b=3.849 c=4.169 alpha=90.00 beta=90.00 gamma=90.00
Fractional coordinates of all 5 atoms:
I 0.000 0.000 0.500
C 0.000 0.000 0.000
W 0.500 0.500 0.500
N 0.000 0.500 0.000
N 0.500 0.000 0.000

Output
Size of the total moment = 0.00 Bohr magnetons per cell
Volume = 12.36 Å³/atom
Density = 9.4 Mg/m³
Formation energy (no corrections) = 2.902 eV per atom

***

(10)
DFT (PBE) results for YCI2N after structural relaxation.

Unit cell a=5.803 b=5.803 c=3.224 alpha=90.00 beta=90.00 gamma=90.00
Fractional coordinates of all 5 atoms:
I 0.000 0.500 0.000
I 0.500 0.000 0.000
Y 0.500 0.500 0.500
C 0.000 0.000 0.000
N 0.000 0.000 0.500

Output
Size of the total moment = 0.00 Bohr magnetons per cell
Volume = 21.71 Å³/atom
Density = 5.6 Mg/m³
Formation energy (no corrections) = 1.020 eV per atom

***

(11)
DFT (PBE) results for YCIN2 after structural relaxation.

Unit cell a=4.207 b=4.207 c=6.583 alpha=90.00 beta=90.00 gamma=90.00
Fractional coordinates of all 5 atoms:
I 0.000 0.000 0.500
Y 0.000 0.000 0.000
C 0.500 0.500 0.500
N 0.000 0.500 0.000
N 0.500 0.000 0.000

Output
Size of the total moment = 0.00 Bohr magnetons per cell
Volume = 23.30 Å³/atom
Density = 3.6 Mg/m³
Formation energy (no corrections) = 2.105 eV per atom

***

(12)
DFT (PBE) results for YCIN2 after structural relaxation.

Unit cell a=4.155 b=4.155 c=4.238 alpha=90.00 beta=90.00 gamma=90.00
Fractional coordinates of all 5 atoms:
I 0.000 0.000 0.500
Y 0.500 0.500 0.500
C 0.000 0.000 0.000
N 0.000 0.500 0.000
N 0.500 0.000 0.000

Output
Size of the total moment = 0.63 Bohr magnetons per cell
Volume = 14.63 Å³/atom
Density = 5.8 Mg/m³
Formation energy (no corrections) = 1.696 eV per atom